[1]
This record from Alexandria via LeMat-Bulk describes a relaxed structure of VReAu2. The functional is PBE.

Summary:
- Final energy: -6.472 eV/atom
- DOS at the Fermi energy: 6.036 states/eV/f.u.
- Relative energy among the computed polymorphs: 0.0 meV/atom
- SG: Fm-3m, No. 225

a b c (Å): 4.529 4.529 4.529
angles (deg): 60.00 60.00 60.00
Sites, in units of the cell vectors:
Re: 0.500 0.500 0.500
Au: 0.750 0.750 0.750
Au: 0.250 0.250 0.250
V: 0.000 0.000 0.000

---

[2]
This record from Alexandria via LeMat-Bulk describes a relaxed structure of VReAu. The functional is PBE.

Summary:
- Final energy: -8.224 eV/atom
- DOS at the Fermi energy: 2.818 states/eV/f.u.
- SG: I4/mmm, No. 139

a b c (Å): 3.061 3.061 10.835
angles (deg): 98.12 98.12 90.00
Sites, in units of the cell vectors:
Au: 0.563 0.563 0.126
V: 0.854 0.854 0.708
Au: 0.437 0.437 0.874
Re: 0.291 0.291 0.581
V: 0.146 0.146 0.292
Re: 0.709 0.709 0.419

---

Calculated M_tot in order - 1.39; 0.00 μB/cell